No. 1
A relaxed structure of KSn2Sb2. Source: Alexandria, functional GGA-PBE.

Results
The formation energy from raw total energies comes out at -0.141 eV/atom. For the magnetization, the calculation gives 0.0 μB per cell. Its space-group type is I4/mmm (139). The uncorrected energy is -18.1 eV/cell.

Geometry as POSCAR:
```
KSn2Sb2
1.0
5.7142 0.0000 0.0000
0.0000 5.7142 0.0000
2.8571 2.8571 5.1467
Sb K Sn
2 1 2
Cartesian
5.7142 2.8571 2.5733
2.8571 5.7142 2.5733
0.0000 0.0000 0.0000
2.8571 2.8571 1.5088
5.7142 5.7142 3.6379
```

No. 2
A relaxed structure of BOsI3. Source: Alexandria, functional GGA-PBE.

Results
The formation energy from raw total energies comes out at 1.919 eV/atom. For the magnetization, the calculation gives 0.0 μB per cell. Its space-group type is Pm-3m (221). The uncorrected energy is -13.0 eV/cell. Its energy above the lowest structure with this stoichiometry is 381.2 meV per atom.

Geometry as POSCAR:
```
BOsI3
1.0
4.8690 0.0000 0.0000
0.0000 4.8690 0.0000
0.0000 0.0000 4.8690
I B Os
3 1 1
Cartesian
0.0000 2.4345 0.0000
0.0000 0.0000 2.4345
2.4345 0.0000 0.0000
0.0000 0.0000 0.0000
2.4345 2.4345 2.4345
```

No. 3
A relaxed structure of Ac5GaSn6. Source: Alexandria, functional GGA-PBE.

Results
For the magnetization, the calculation gives 0.0 μB per cell. Its space-group type is Immm (71). The uncorrected energy is -54.2 eV/cell. For the energy relative to the elements, the calculation gives -0.55 eV per atom.

Geometry as POSCAR:
```
Ac5GaSn6
1.0
-2.6946 4.0236 -1.5887
-7.5900 -1.6265 -7.5805
-9.2045 -2.1817 1.9196
Ac Ga Sn
5 1 6
Cartesian
-9.0422 0.2120 -0.4682
-5.6954 -1.2940 -1.7843
-5.1423 1.1985 -4.5846
-13.7937 1.5094 -5.4653
-10.4469 0.0034 -6.7814
0.0000 0.0000 0.0000
-5.7053 2.1509 -1.2141
-8.1415 -0.6551 -4.1948
-11.8312 -1.6486 -0.4413
-7.6579 1.8640 -6.8084
-11.3476 0.8704 -3.0549
-13.7837 -1.9355 -6.0355
```

No. 4
A relaxed structure of MgReHPd2. Source: Alexandria, functional GGA-PBE.

Results
For the magnetization, the calculation gives 1.5 μB per cell. Its space-group type is P4/mmm (123). The uncorrected energy is -23.8 eV/cell.

Geometry as POSCAR:
```
MgReHPd2
1.0
-1.7798 -4.4297 -1.4070
2.5591 -0.6270 -1.2633
1.6132 -2.0017 4.2615
Re Mg Pd H
1 1 2 1
Cartesian
1.1963 -3.5292 0.7956
0.0000 0.0000 0.0000
0.8066 -1.0009 2.1307
-0.8899 -2.2149 -0.7035
1.2796 -0.3135 -0.6316
```

No. 5
A relaxed structure of CeNbOs. Source: Alexandria, functional GGA-PBE.

Results
For the magnetization, the calculation gives 0.0 μB per cell. Its space-group type is Fmmm (69). The uncorrected energy is -54.9 eV/cell. For the energy relative to the elements, the calculation gives -0.07 eV per atom. Its energy above the lowest structure with this stoichiometry is 0.0 meV per atom.

Geometry as POSCAR:
```
CeNbOs
1.0
5.4563 0.0873 0.0000
-2.5364 4.8318 0.0000
-1.4600 -2.4595 4.5458
Ce Nb Os
2 2 2
Cartesian
2.7232 1.7096 0.0000
0.1967 3.2094 0.0000
1.4600 2.4596 3.0872
0.0000 0.0000 1.4585
2.7282 0.0436 2.2729
-1.2682 2.4159 2.2729
```

No. 6
A relaxed structure of Na2ZrBH. Source: Alexandria, functional GGA-PBE.

Results
For the magnetization, the calculation gives 1.5 μB per cell. Its space-group type is P4/mmm (123). The uncorrected energy is -17.3 eV/cell.

Geometry as POSCAR:
```
Na2ZrBH
1.0
3.7377 0.0000 0.0000
0.0000 6.4139 0.0000
0.0000 0.0000 3.7377
Na B Zr H
2 1 1 1
Cartesian
0.0000 0.0000 1.8688
1.8688 0.0000 0.0000
0.0000 3.2070 0.0000
1.8688 3.2070 1.8688
0.0000 0.0000 0.0000
```

Among the records above, which one has the highest uncorrected energy?
BOsI3

Number 1 is which compound?
KSn2Sb2